# Cs2CeAgBr6 GGA-PBE relaxed
# V = 1548.4 Å³ per cell
# energy relative to the elements, uncorrected = -1.538 eV per atom
data_Cs2CeAgBr6
_symmetry_space_group_name_H-M 'F m -3 m'
_symmetry_Int_Tables_number 225
_symmetry_space_group_name_Hall '-F 4 2 3'
_cell_length_a 11.569
_cell_length_b 11.569
_cell_length_c 11.569
_cell_angle_alpha 90.00
_cell_angle_beta 90.00
_cell_angle_gamma 90.00
loop_
_atom_site_label
_atom_site_type_symbol
_atom_site_fract_x
_atom_site_fract_y
_atom_site_fract_z
Cs1 Cs 0.250 0.250 0.250
Ce1 Ce 0.000 0.000 0.000
Ag1 Ag 0.000 0.000 0.500
Br1 Br 0.000 0.000 0.251

***

# Cs3CeAg2Br9 GGA-PBE relaxed
# V = 559.2 Å³ per cell
# energy relative to the elements, uncorrected = -1.364 eV per atom
data_Cs3CeAg2Br9
_symmetry_space_group_name_H-M 'P -3 m 1'
_symmetry_Int_Tables_number 164
_symmetry_space_group_name_Hall '-P 3 2"'
_cell_length_a 8.0507
_cell_length_b 8.0507
_cell_length_c 9.9620
_cell_angle_alpha 90.00
_cell_angle_beta 90.00
_cell_angle_gamma 120.00
loop_
_atom_site_label
_atom_site_type_symbol
_atom_site_fract_x
_atom_site_fract_y
_atom_site_fract_z
Cs1 Cs 0.0000 0.0000 0.0000
Cs2 Cs 0.3333 0.6667 0.7054
Ce1 Ce 0.0000 0.0000 0.5000
Ag1 Ag 0.3333 0.6667 0.1468
Br1 Br 0.0000 0.5000 0.0000
Br2 Br 0.1658 0.3315 0.3376

***

no.,electronic total energy (eV per atom)
1,-3.591
2,-3.314